Record 1
Compound: Pm2Co5Ge4
Source: Alexandria
Functional: GGA-PBE
Structure: relaxed

a b c (Å): 5.4444 5.4483 7.4195
angles (deg): 79.44 68.48 60.02
With the nearest neighbours (Å) after each atom.
Fractional coordinates of all 11 atoms:
Ge1 0.7873 0.6853 0.7401  5 Co 2.32-2.42
Ge2 0.5274 0.6853 0.2599  5 Co 2.32-2.42
Ge3 0.2127 0.3147 0.2599  5 Co 2.32-2.42
Ge4 0.4726 0.3147 0.7401  5 Co 2.32-2.42
Co1 0.0000 0.5000 0.0000  4 Ge 2.42
Co2 0.2500 0.5000 0.5000  4 Ge 2.32
Co3 0.7500 0.5000 0.5000  4 Ge 2.32
Co4 0.5000 0.5000 0.0000  4 Ge 2.42
Co5 0.5000 0.0000 0.0000  4 Ge 2.33
Pm1 0.1319 0.0000 0.7362  6 Ge 3.10-3.23, 10 Co 3.17-3.28
Pm2 0.8681 0.0000 0.2638  6 Ge 3.10-3.23, 10 Co 3.17-3.28

As for the electronic total energy: -6.23 eV per atom. For the energy relative to the elements, the calculation gives -0.461 eV/atom.

Record 2
Compound: PmCo2Ge8
Source: Alexandria
Functional: GGA-PBE
Structure: relaxed

a b c (Å): 5.7510 5.7510 7.2805
angles (deg): 90.00 90.00 90.00
With the nearest neighbours (Å) after each atom.
Fractional coordinates of all 11 atoms:
Co1 0.5000 0.0000 0.0000  8 Ge 2.44
Co2 0.0000 0.5000 0.0000  8 Ge 2.44
Ge1 0.2496 0.2496 0.1862  2 Co 2.44, 1 Ge 2.71
Ge2 0.7504 0.2496 0.8138  2 Co 2.44, 1 Ge 2.71
Ge3 0.2496 0.7504 0.1862  2 Co 2.44, 1 Ge 2.71
Ge4 0.2496 0.7504 0.8138  2 Co 2.44, 1 Ge 2.71
Ge5 0.7504 0.7504 0.8138  2 Co 2.44, 1 Ge 2.71
Ge6 0.7504 0.7504 0.1862  2 Co 2.44, 1 Ge 2.71
Ge7 0.2496 0.2496 0.8138  2 Co 2.44, 1 Ge 2.71
Ge8 0.7504 0.2496 0.1862  2 Co 2.44, 1 Ge 2.71
Pm1 0.5000 0.5000 0.5000  8 Ge 3.06

As for the electronic total energy: -5.10 eV per atom. For the energy relative to the elements, the calculation gives -0.015 eV/atom.

Record 3
Compound: Pm4Co2Ge5
Source: Alexandria
Functional: GGA-PBE
Structure: relaxed

a b c (Å): 4.2667 6.9554 8.1031
angles (deg): 88.32 90.00 90.00
With the nearest neighbours (Å) after each atom.
Fractional coordinates of all 11 atoms:
Ge1 0.0000 0.4067 0.6425  1 Co 2.36, 1 Ge 2.62
Ge2 0.0000 0.5933 0.3575  1 Co 2.36, 1 Ge 2.62
Ge3 0.0000 0.8933 0.8696  1 Co 2.35, 1 Ge 2.62
Ge4 0.0000 0.5000 0.0000  4 Ge 2.90-2.99, 4 Pm 3.07
Ge5 0.0000 0.1067 0.1304  1 Co 2.35, 1 Ge 2.62
Pm1 0.5000 0.2283 0.8650  8 Ge 3.04-3.16, 2 Co 3.15
Pm2 0.5000 0.7523 0.6151  4 Co 3.07-3.08, 6 Ge 3.14-3.22
Pm3 0.5000 0.2477 0.3849  4 Co 3.07-3.08, 6 Ge 3.14-3.22
Pm4 0.5000 0.7717 0.1350  8 Ge 3.04-3.16, 2 Co 3.15
Co1 0.0000 0.9299 0.3819  1 Co 2.17, 2 Ge 2.35-2.36
Co2 0.0000 0.0701 0.6181  1 Co 2.17, 2 Ge 2.35-2.36

As for the electronic total energy: -5.70 eV per atom. For the energy relative to the elements, the calculation gives -0.585 eV/atom.

Record 4
Compound: Pm2Co2Ge3
Source: Alexandria
Functional: GGA-PBE
Structure: relaxed

a b c (Å): 3.9776 5.6057 6.9691
angles (deg): 116.32 90.00 110.78
With the nearest neighbours (Å) after each atom.
Fractional coordinates of all 7 atoms:
Ge1 0.6382 0.2764 0.4421  3 Co 2.45-2.50, 1 Ge 2.71
Ge2 0.5000 0.0000 0.0000  4 Co 2.49, 2 Ge 2.71
Ge3 0.3618 0.7236 0.5579  3 Co 2.45-2.50, 1 Ge 2.71
Co1 0.8686 0.7371 0.7802  5 Ge 2.45-2.50
Co2 0.1314 0.2629 0.2198  5 Ge 2.45-2.50
Pm1 0.1428 0.2856 0.7742  4 Co 2.89-3.16, 2 Ge 3.03
Pm2 0.8572 0.7144 0.2258  4 Co 2.89-3.16, 2 Ge 3.03

The calculation puts the offset from the most stable computed form at 0.085 eV per atom. As for the electronic total energy: -5.85 eV per atom. For the energy relative to the elements, the calculation gives -0.487 eV/atom.

Record 5
Compound: Pm8CoGe2
Source: Alexandria
Functional: GGA-PBE
Structure: relaxed

a b c (Å): 4.5850 7.3676 9.6061
angles (deg): 98.64 103.81 90.00
With the nearest neighbours (Å) after each atom.
Fractional coordinates of all 11 atoms:
Pm1 0.9910 0.2164 0.9821  2 Co 2.81
Pm2 0.6490 0.0119 0.2979  1 Co 2.77, 2 Ge 3.09
Pm3 0.7825 0.6575 0.5650  3 Ge 3.12-3.22, 5 Pm 3.35-3.48
Pm4 0.2175 0.3425 0.4350  3 Ge 3.12-3.22, 5 Pm 3.35-3.48
Pm5 0.5965 0.5078 0.1929  2 Ge 3.20, 5 Pm 3.48-3.56
Pm6 0.3510 0.9881 0.7021  1 Co 2.77, 2 Ge 3.09
Pm7 0.4035 0.4922 0.8071  2 Ge 3.20, 5 Pm 3.48-3.56
Pm8 0.0090 0.7836 0.0179  2 Co 2.81
Ge1 0.8185 0.2440 0.6371  9 Pm 3.09-3.36
Ge2 0.1815 0.7560 0.3629  9 Pm 3.09-3.36
Co1 0.5000 0.0000 0.0000  6 Pm 2.77-2.81

As for the electronic total energy: -5.24 eV per atom. For the energy relative to the elements, the calculation gives -0.303 eV/atom.

Record 6
Compound: Pm2CoGe
Source: Alexandria
Functional: GGA-PBE
Structure: relaxed

a b c (Å): 3.5341 3.5341 7.2618
angles (deg): 90.00 90.00 90.00
With the nearest neighbours (Å) after each atom.
Fractional coordinates of all 4 atoms:
Ge1 0.5000 0.5000 0.5000  8 Pm 3.15
Pm1 0.0000 0.0000 0.7647  4 Co 3.03, 4 Ge 3.15
Pm2 0.0000 0.0000 0.2353  4 Co 3.03, 4 Ge 3.15
Co1 0.5000 0.5000 0.0000  8 Pm 3.03

As for the electronic total energy: -5.61 eV per atom. For the energy relative to the elements, the calculation gives -0.304 eV/atom.

Record 7
Compound: Pm2CoGe3
Source: Alexandria
Functional: GGA-PBE
Structure: relaxed

a b c (Å): 4.1702 4.2376 7.1649
angles (deg): 90.00 90.00 90.00
With the nearest neighbours (Å) after each atom.
Fractional coordinates of all 6 atoms:
Ge1 0.5000 0.0000 0.1904  2 Co 2.30, 1 Ge 2.53
Ge2 0.5000 0.0000 0.8378  3 Ge 2.53-2.55
Ge3 0.5000 0.5000 0.6395  1 Co 2.32, 2 Ge 2.55
Pm1 0.0000 0.5000 0.0149  2 Co 3.00, 8 Ge 3.23
Pm2 0.0000 0.0000 0.5013  8 Ge 3.05-3.19, 4 Co 3.26
Co1 0.5000 0.5000 0.3162  3 Ge 2.30-2.32

The calculation puts the offset from the most stable computed form at 0.035 eV per atom. As for the electronic total energy: -5.73 eV per atom. For the energy relative to the elements, the calculation gives -0.654 eV/atom.

Record 8
Compound: Pm7CoGe4
Source: Alexandria
Functional: GGA-PBE
Structure: relaxed

a b c (Å): 5.1464 9.1515 7.8982
angles (deg): 77.10 70.99 73.67
With the nearest neighbours (Å) after each atom.
Fractional coordinates of all 12 atoms:
Pm1 0.5000 0.0000 0.0000  2 Co 2.57
Pm2 0.2105 0.1337 0.4454  4 Ge 2.91-3.24
Pm3 0.3578 0.5532 0.7312  5 Ge 3.04-3.12
Pm4 0.7895 0.8663 0.5546  4 Ge 2.91-3.24
Pm5 0.6422 0.4468 0.2688  5 Ge 3.04-3.12
Pm6 0.0789 0.7134 0.1287  1 Co 2.56
Pm7 0.9211 0.2866 0.8713  1 Co 2.56
Ge1 0.5773 0.2226 0.6228  8 Pm 3.05-3.27
Ge2 0.7254 0.6552 0.8939  7 Pm 2.91-3.24
Ge3 0.2746 0.3448 0.1061  7 Pm 2.91-3.24
Ge4 0.4227 0.7774 0.3772  8 Pm 3.05-3.27
Co1 0.0000 0.0000 0.0000  4 Pm 2.56-2.57

As for the electronic total energy: -5.31 eV per atom. For the energy relative to the elements, the calculation gives -0.411 eV/atom.

Record 9
Compound: PmCoGe2
Source: Alexandria
Functional: GGA-PBE
Structure: relaxed

a b c (Å): 4.1839 6.9373 10.2997
angles (deg): 90.00 90.00 90.00
With the nearest neighbours (Å) after each atom.
Fractional coordinates of all 16 atoms:
Ge1 0.2500 0.8526 0.8277  2 Co 2.30-2.41
Ge2 0.7500 0.1509 0.5687  3 Co 2.34-2.40
Ge3 0.2500 0.8491 0.4313  3 Co 2.34-2.40
Ge4 0.2500 0.3526 0.6723  2 Co 2.30-2.41
Ge5 0.7500 0.6474 0.3277  2 Co 2.30-2.41
Ge6 0.7500 0.6509 0.9313  3 Co 2.34-2.40
Ge7 0.2500 0.3491 0.0687  3 Co 2.34-2.40
Ge8 0.7500 0.1474 0.1723  2 Co 2.30-2.41
Co1 0.2500 0.0106 0.6312  5 Ge 2.30-2.41
Co2 0.7500 0.9894 0.3688  5 Ge 2.30-2.41
Co3 0.7500 0.4894 0.1312  5 Ge 2.30-2.41
Co4 0.2500 0.5106 0.8688  5 Ge 2.30-2.41
Pm1 0.2500 0.3272 0.3727  9 Ge 3.09-3.37, 5 Co 3.14-3.45
Pm2 0.7500 0.1728 0.8727  9 Ge 3.09-3.37, 5 Co 3.14-3.45
Pm3 0.2500 0.8272 0.1273  9 Ge 3.09-3.37, 5 Co 3.14-3.45
Pm4 0.7500 0.6728 0.6273  9 Ge 3.09-3.37, 5 Co 3.14-3.45

The calculation puts the offset from the most stable computed form at 0.028 eV per atom. As for the electronic total energy: -5.91 eV per atom. For the energy relative to the elements, the calculation gives -0.640 eV/atom.

Record 10
Compound: Pm3Co2Ge7
Source: Alexandria
Functional: GGA-PBE
Structure: relaxed

a b c (Å): 4.2730 4.2198 12.9550
angles (deg): 99.36 90.00 90.00
With the nearest neighbours (Å) after each atom.
Fractional coordinates of all 12 atoms:
Co1 0.5000 0.6276 0.2568  5 Ge 2.33-2.35
Co2 0.5000 0.3724 0.7432  5 Ge 2.33-2.35
Pm1 0.5000 0.5000 0.0000  12 Ge 3.00-3.14, 2 Co 3.28
Pm2 0.0000 0.1848 0.3692  10 Ge 3.13-3.25, 4 Co 3.33
Pm3 0.0000 0.8152 0.6308  10 Ge 3.13-3.25, 4 Co 3.33
Ge1 0.0000 0.4103 0.8202  2 Co 2.35
Ge2 0.5000 0.2806 0.5609  1 Co 2.33
Ge3 0.5000 0.9110 0.8203  2 Co 2.33
Ge4 0.5000 0.7194 0.4391  1 Co 2.33
Ge5 0.0000 0.0000 0.0000  4 Pm 3.00, 8 Ge 3.12-3.14
Ge6 0.0000 0.5897 0.1798  2 Co 2.35
Ge7 0.5000 0.0890 0.1797  2 Co 2.33

As for the electronic total energy: -5.70 eV per atom. For the energy relative to the elements, the calculation gives -0.632 eV/atom.

Record 11
Compound: Pm2CoGe
Source: Alexandria
Functional: GGA-PBE
Structure: relaxed

a b c (Å): 4.4849 8.7689 5.7633
angles (deg): 112.36 112.90 90.00
With the nearest neighbours (Å) after each atom.
Fractional coordinates of all 8 atoms:
Pm1 0.8293 0.9145 0.6581  2 Co 2.75
Pm2 0.1707 0.0855 0.3419  2 Co 2.75
Pm3 0.8288 0.4145 0.6581  2 Co 2.75
Pm4 0.1712 0.5855 0.3419  2 Co 2.75
Co1 0.9996 0.7500 0.0000  2 Ge 2.24
Co2 0.0004 0.2500 0.0000  2 Ge 2.24
Ge1 0.4996 0.7500 0.0000  2 Co 2.24
Ge2 0.5004 0.2500 0.0000  2 Co 2.24

As for the electronic total energy: -5.61 eV per atom. For the energy relative to the elements, the calculation gives -0.307 eV/atom.

Record 12
Compound: Pm12Co6Ge
Source: Alexandria
Functional: GGA-PBE
Structure: relaxed

a b c (Å): 8.5486 8.5486 8.5486
angles (deg): 109.47 109.47 109.47
With the nearest neighbours (Å) after each atom.
Fractional coordinates of all 19 atoms:
Co1 0.6122 0.5000 0.1122  1 Co 2.22
Co2 0.3878 0.5000 0.8878  1 Co 2.22
Co3 0.5000 0.8878 0.3878  1 Co 2.22
Co4 0.5000 0.1122 0.6122  1 Co 2.22
Co5 0.8878 0.3878 0.5000  1 Co 2.22
Co6 0.1122 0.6122 0.5000  1 Co 2.22
Pm1 0.5047 0.8076 0.6972  3 Co 2.74-2.94
Pm2 0.8076 0.6972 0.5047  3 Co 2.74-2.94
Pm3 0.8076 0.3028 0.1104  3 Co 2.74-2.94
Pm4 0.6972 0.5047 0.8076  3 Co 2.74-2.94
Pm5 0.1104 0.8076 0.3028  3 Co 2.74-2.94
Pm6 0.4953 0.1924 0.3028  3 Co 2.74-2.94
Pm7 0.6972 0.8896 0.1924  3 Co 2.74-2.94
Pm8 0.1924 0.6972 0.8896  3 Co 2.74-2.94
Pm9 0.8896 0.1924 0.6972  3 Co 2.74-2.94
Pm10 0.3028 0.1104 0.8076  3 Co 2.74-2.94
Pm11 0.3028 0.4953 0.1924  3 Co 2.74-2.94
Pm12 0.1924 0.3028 0.4953  3 Co 2.74-2.94
Ge1 0.0000 0.0000 0.0000  12 Pm 3.54

As for the electronic total energy: -5.66 eV per atom. For the energy relative to the elements, the calculation gives -0.170 eV/atom.